Record 1
## NbSi2Pt (SCAN)

Data for NbSi2Pt at its PBEsol-relaxed geometry.

The uncorrected formation energy comes out at -203.3 meV per atom. The calculated total energy is -496.67 eV/cell.

The structure belongs to space group I-42d (No. 122); the cell edges are 6.672, 6.672 and 5.826 Å and the angles 90.00°, 90.00° and 90.00°. The asymmetric unit holds Nb at (0.000, 0.000, 0.000), Si at (0.220, 0.250, 0.625) and Pt at (0.000, 0.000, 0.500).

Record 2
## NbSi3Pt (SCAN)

Data for NbSi3Pt at its PBEsol-relaxed geometry.

The uncorrected formation energy comes out at 914.3 meV per atom. The calculated total energy is -128.80 eV/cell.

The structure belongs to space group Pm-3m (No. 221); the cell edges are 4.597, 4.597 and 4.597 Å and the angles 90.00°, 90.00° and 90.00°. The asymmetric unit holds Nb at (0.000, 0.000, 0.000), Si at (0.000, 0.500, 0.500) and Pt at (0.500, 0.500, 0.500).

Record 3
## Nb2Si2Pt (SCAN)

Data for Nb2Si2Pt at its PBEsol-relaxed geometry.

The uncorrected formation energy comes out at -738.3 meV per atom. The calculated total energy is -320.35 eV/cell.

The structure belongs to space group P4/mbm (No. 127); the cell edges are 6.332, 6.332 and 3.734 Å and the angles 90.00°, 90.00° and 90.00°. The asymmetric unit holds Nb at (0.171, 0.329, 0.000), Si at (0.130, 0.630, 0.500) and Pt at (0.000, 0.000, 0.500).

Please write out number 3 again, unchanged.
## Nb2Si2Pt (SCAN)

Data for Nb2Si2Pt at its PBEsol-relaxed geometry.

The uncorrected formation energy comes out at -738.3 meV per atom. The calculated total energy is -320.35 eV/cell.

The structure belongs to space group P4/mbm (No. 127); the cell edges are 6.332, 6.332 and 3.734 Å and the angles 90.00°, 90.00° and 90.00°. The asymmetric unit holds Nb at (0.171, 0.329, 0.000), Si at (0.130, 0.630, 0.500) and Pt at (0.000, 0.000, 0.500).

> Among the records above, which one has the lowest calculated total energy?

NbSi2Pt

> Among the records above, which one has the lowest calculated total energy?

NbSi2Pt